VASP calculation (PBE) on a geometry-optimized TcP2AuO structure.

Results
Raw formation energy ... 1.1648 eV/atom
DFT total energy ... -0.173 Ha/atom
Relative energy among the computed polymorphs ... 1.162 eV/atom
Size of the total moment ... 2.965 μB per cell
Calculated volume ... 18.129 Å³/atom

Cell lengths 4.816, 4.816, 3.908 Å; angles 90.00, 90.00, 90.00 degrees
Atoms (fractional coordinates):
P 0.000 0.500 0.000
P 0.500 0.000 0.000
Au 0.000 0.000 0.000
Tc 0.500 0.500 0.500
O 0.000 0.000 0.500